(1)
Computed, not measured: crystalline Na2CdHgH at its relaxed geometry at the GGA-PBE level of DFT.

DOS at the Fermi energy (states/eV per atom): 0.347
E (eV for the cell shown): -7.47
Symmetry: No. 123

The structure in POSCAR format:
```
Na2CdHgH
1.0
4.7193 0.0000 0.0000
0.0000 4.7193 0.0000
0.0000 0.0000 4.5192
Na Cd Hg H
2 1 1 1
direct
0.0000 0.5000 0.0000
0.5000 0.0000 0.0000
0.0000 0.0000 0.5000
0.5000 0.5000 0.5000
0.0000 0.0000 0.0000
```



(2)
Computed, not measured: crystalline Rb2YCd2 at its relaxed geometry at the GGA-PBE level of DFT.

DOS at the Fermi energy (states/eV per atom): 0.737
E (eV for the cell shown): -18.61
Symmetry: No. 127

The structure in POSCAR format:
```
Rb2YCd2
1.0
8.1061 0.0000 0.0000
0.0000 8.1061 0.0000
0.0000 0.0000 6.3618
Rb Y Cd
4 2 4
direct
0.1772 0.3228 0.0000
0.3228 0.8228 0.0000
0.6772 0.1772 0.0000
0.8228 0.6772 0.0000
0.0000 0.0000 0.5000
0.5000 0.5000 0.5000
0.1282 0.6282 0.5000
0.3718 0.1282 0.5000
0.6282 0.8718 0.5000
0.8718 0.3718 0.5000
```



(3)
Computed, not measured: crystalline Tb2Sc2Bi2P at its relaxed geometry at the GGA-PBE level of DFT.

DOS at the Fermi energy (states/eV per atom): 0.760
E (eV for the cell shown): -41.10
Symmetry: No. 139

The structure in POSCAR format:
```
Tb2Sc2Bi2P
1.0
-2.4195 2.4195 8.0963
2.4195 -2.4195 8.0963
2.4195 2.4195 -8.0963
Tb Sc Bi P
2 2 2 1
direct
0.1670 0.1670 0.0000
0.8330 0.8330 0.0000
0.0000 0.5000 0.5000
0.5000 0.0000 0.5000
0.3640 0.3640 0.0000
0.6360 0.6360 0.0000
0.0000 0.0000 0.0000
```



(4)
Computed, not measured: crystalline MnIrSe3 at its relaxed geometry at the GGA-PBE level of DFT.

DOS at the Fermi energy (states/eV per atom): 0.483
E (eV for the cell shown): -117.82
Symmetry: No. 15
Energy relative to the elements, uncorrected (eV/atom): -0.1940

The structure in POSCAR format:
```
MnIrSe3
1.0
5.8562 -5.6531 0.0000
5.8562 5.6531 0.0000
-0.8018 0.0000 6.6930
Mn Ir Se
4 4 12
direct
0.0811 0.9189 0.7500
0.2454 0.7546 0.2500
0.7546 0.2454 0.7500
0.9189 0.0811 0.2500
0.1825 0.3424 0.9666
0.3424 0.1825 0.4666
0.6576 0.8175 0.5334
0.8175 0.6576 0.0334
0.0653 0.2101 0.6234
0.1063 0.6398 0.9136
0.2101 0.0653 0.1234
0.3156 0.4401 0.2942
0.3602 0.8937 0.5864
0.4401 0.3156 0.7942
0.5599 0.6844 0.2058
0.6398 0.1063 0.4136
0.6844 0.5599 0.7058
0.7899 0.9347 0.8766
0.8937 0.3602 0.0864
0.9347 0.7899 0.3766
```